This record from OQMD via LeMat-Bulk describes crystalline NaTmZnTe3 at its relaxed geometry. The functional is PBE-GGA.

```
data_NaTmZnTe3
_cell_length_a 8.704
_cell_length_b 4.281
_cell_length_c 10.446
_cell_angle_alpha 90.00
_cell_angle_beta 105.72
_cell_angle_gamma 90.00
_space_group_name_H-M_alt 'P 1'
_space_group_IT_number 1
loop_
_space_group_symop_operation_xyz
'x,y,z'
loop_
_atom_site_label
_atom_site_fract_x
_atom_site_fract_y
_atom_site_fract_z
Na1 0.725 0.250 0.261
Na2 0.275 0.750 0.739
Te1 0.430 0.750 0.147
Te2 0.261 0.250 0.460
Te3 0.570 0.250 0.853
Te4 0.739 0.750 0.540
Te5 0.937 0.750 0.157
Te6 0.063 0.250 0.843
Zn1 0.581 0.250 0.603
Zn2 0.419 0.750 0.397
Tm1 0.179 0.250 0.144
Tm2 0.821 0.750 0.856
```

Properties
excess energy over the best structure of this formula in the dataset = 10 meV/atom
space group = No. 11
total magnetic moment = 0.001 μB per atom

This record from OQMD via LeMat-Bulk describes crystalline TlAgPdSe2S at its relaxed geometry. The functional is PBE-GGA.

```
data_TlAgPdSe2S
_cell_length_a 6.586
_cell_length_b 6.586
_cell_length_c 10.982
_cell_angle_alpha 90.00
_cell_angle_beta 90.00
_cell_angle_gamma 145.72
_space_group_name_H-M_alt 'P 1'
_space_group_IT_number 1
loop_
_space_group_symop_operation_xyz
'x,y,z'
loop_
_atom_site_label
_atom_site_fract_x
_atom_site_fract_y
_atom_site_fract_z
Pd1 0.000 0.000 0.000
Pd2 0.000 0.000 0.500
Se1 0.629 0.371 0.484
Se2 0.371 0.629 0.984
Se3 0.629 0.371 0.016
Se4 0.371 0.629 0.516
S1 0.024 0.976 0.750
S2 0.976 0.024 0.250
Ag1 0.623 0.377 0.250
Ag2 0.377 0.623 0.750
Tl1 0.693 0.307 0.750
Tl2 0.307 0.693 0.250
```

Properties
electronic total energy = -44.719 eV/cell
space group = No. 63

This record from OQMD via LeMat-Bulk describes crystalline SmGeH2O4 at its relaxed geometry. The functional is PBE-GGA.

```
data_SmGeH2O4
_cell_length_a 6.949
_cell_length_b 6.290
_cell_length_c 4.997
_cell_angle_alpha 90.00
_cell_angle_beta 121.32
_cell_angle_gamma 90.00
_space_group_name_H-M_alt 'P 1'
_space_group_IT_number 1
loop_
_space_group_symop_operation_xyz
'x,y,z'
loop_
_atom_site_label
_atom_site_fract_x
_atom_site_fract_y
_atom_site_fract_z
O1 0.538 0.250 0.566
O2 0.066 0.974 0.323
O3 0.934 0.026 0.677
O4 0.462 0.750 0.434
O5 0.066 0.526 0.323
O6 0.934 0.474 0.677
O7 0.552 0.750 0.011
O8 0.448 0.250 0.989
H1 0.000 0.500 0.500
H2 0.503 0.750 0.174
H3 0.000 0.000 0.500
H4 0.497 0.250 0.826
Ge1 0.283 0.750 0.590
Ge2 0.717 0.250 0.410
Sm1 0.183 0.250 0.131
Sm2 0.817 0.750 0.869
```

Properties
excess energy over the best structure of this formula in the dataset = 32 meV/atom
space group = No. 11
total magnetic moment = 0.000 μB per atom

This record from OQMD via LeMat-Bulk describes crystalline IrI4 at its relaxed geometry. The functional is PBE-GGA.

```
data_IrI4
_cell_length_a 7.029
_cell_length_b 10.171
_cell_length_c 11.336
_cell_angle_alpha 99.14
_cell_angle_beta 106.20
_cell_angle_gamma 90.45
_space_group_name_H-M_alt 'P 1'
_space_group_IT_number 1
loop_
_space_group_symop_operation_xyz
'x,y,z'
loop_
_atom_site_label
_atom_site_fract_x
_atom_site_fract_y
_atom_site_fract_z
I1 0.437 0.768 0.217
I2 0.043 0.944 0.300
I3 0.672 0.538 0.655
I4 0.925 0.658 0.465
I5 0.075 0.342 0.535
I6 0.563 0.232 0.783
I7 0.328 0.462 0.345
I8 0.829 0.270 0.135
I9 0.443 0.810 0.563
I10 0.936 0.624 0.120
I11 0.251 0.079 0.056
I12 0.171 0.730 0.865
I13 0.557 0.190 0.437
I14 0.957 0.056 0.700
I15 0.749 0.921 0.944
I16 0.064 0.376 0.880
Ir1 0.807 0.300 0.649
Ir2 0.193 0.700 0.351
Ir3 0.903 0.158 0.926
Ir4 0.097 0.842 0.074
```

Properties
electronic total energy = -60.619 eV/cell
space group = No. 2
total magnetic moment = 0.010 μB per atom

This record from OQMD via LeMat-Bulk describes crystalline NaBi2AuO5 at its relaxed geometry. The functional is PBE-GGA.

```
data_NaBi2AuO5
_cell_length_a 12.344
_cell_length_b 12.344
_cell_length_c 3.631
_cell_angle_alpha 90.00
_cell_angle_beta 90.00
_cell_angle_gamma 90.00
_space_group_name_H-M_alt 'P 1'
_space_group_IT_number 1
loop_
_space_group_symop_operation_xyz
'x,y,z'
loop_
_atom_site_label
_atom_site_fract_x
_atom_site_fract_y
_atom_site_fract_z
O1 0.505 0.837 0.498
O2 0.788 0.712 0.000
O3 0.116 0.883 0.500
O4 0.117 0.116 0.500
O5 0.337 0.005 0.502
O6 0.163 0.505 0.502
O7 0.617 0.384 0.500
O8 0.995 0.337 0.498
O9 0.663 0.995 0.502
O10 0.837 0.495 0.502
O11 0.712 0.212 0.000
O12 0.883 0.884 0.500
O13 0.884 0.117 0.500
O14 0.495 0.163 0.498
O15 0.212 0.288 0.000
O16 0.383 0.616 0.500
O17 0.288 0.788 0.000
O18 0.616 0.617 0.500
O19 0.005 0.663 0.498
O20 0.384 0.383 0.500
Bi1 0.951 0.769 0.996
Bi2 0.231 0.951 0.004
Bi3 0.731 0.549 0.004
Bi4 0.049 0.231 0.996
Bi5 0.549 0.269 0.996
Bi6 0.451 0.731 0.996
Bi7 0.269 0.451 0.004
Bi8 0.769 0.049 0.004
Na1 0.700 0.800 0.500
Na2 0.800 0.300 0.500
Na3 0.300 0.200 0.500
Na4 0.200 0.700 0.500
Au1 0.000 0.000 0.500
Au2 0.500 0.000 0.500
Au3 0.000 0.500 0.500
Au4 0.500 0.500 0.500
```

Properties
electronic total energy = -186.428 eV/cell
space group = No. 117

This record from OQMD via LeMat-Bulk describes crystalline K2Hg2S3 at its relaxed geometry. The functional is PBE-GGA.

```
data_K2Hg2S3
_cell_length_a 6.952
_cell_length_b 6.952
_cell_length_c 6.952
_cell_angle_alpha 50.97
_cell_angle_beta 50.97
_cell_angle_gamma 50.97
_space_group_name_H-M_alt 'P 1'
_space_group_IT_number 1
loop_
_space_group_symop_operation_xyz
'x,y,z'
loop_
_atom_site_label
_atom_site_fract_x
_atom_site_fract_y
_atom_site_fract_z
K1 0.500 0.500 0.500
K2 0.000 0.000 0.000
Hg1 0.299 0.299 0.299
Hg2 0.701 0.701 0.701
S1 0.500 0.000 0.000
S2 0.000 0.500 0.000
S3 0.000 0.000 0.500
```

Properties
excess energy over the best structure of this formula in the dataset = 161 meV/atom
space group = No. 166

This record from OQMD via LeMat-Bulk describes crystalline NbAlRe at its relaxed geometry. The functional is PBE-GGA.

```
data_NbAlRe
_cell_length_a 4.326
_cell_length_b 4.326
_cell_length_c 4.326
_cell_angle_alpha 60.00
_cell_angle_beta 60.00
_cell_angle_gamma 60.00
_space_group_name_H-M_alt 'P 1'
_space_group_IT_number 1
loop_
_space_group_symop_operation_xyz
'x,y,z'
loop_
_atom_site_label
_atom_site_fract_x
_atom_site_fract_y
_atom_site_fract_z
Nb1 0.750 0.750 0.750
Al1 0.250 0.250 0.250
Re1 0.000 0.000 0.000
```

Properties
excess energy over the best structure of this formula in the dataset = 0 meV/atom
space group = No. 216
total magnetic moment = 0.217 μB per atom

This record from OQMD via LeMat-Bulk describes crystalline ScCdFeBi at its relaxed geometry. The functional is PBE-GGA.

```
data_ScCdFeBi
_cell_length_a 4.929
_cell_length_b 4.929
_cell_length_c 4.929
_cell_angle_alpha 60.00
_cell_angle_beta 60.00
_cell_angle_gamma 60.00
_space_group_name_H-M_alt 'P 1'
_space_group_IT_number 1
loop_
_space_group_symop_operation_xyz
'x,y,z'
loop_
_atom_site_label
_atom_site_fract_x
_atom_site_fract_y
_atom_site_fract_z
Bi1 0.000 0.000 0.000
Sc1 0.500 0.500 0.500
Fe1 0.750 0.750 0.750
Cd1 0.250 0.250 0.250
```

Properties
excess energy over the best structure of this formula in the dataset = 100 meV/atom
space group = No. 216
total magnetic moment = 0.425 μB per atom